VASP calculation (PBE) on an optimized crystal structure of Cd8InGa2.

Values from the calculation:
Calculated volume ... 529 Å³/cell
DOS at the Fermi energy ... 8.4 states/eV per cell
Crystal system ... monoclinic
Energy of formation from the pure elements ... 0.089 eV per atom
Total magnetization ... 0.00 μB/f.u.

Cell and atoms, written as CIF:
```
data_Cd8InGa2
_space_group_name_H-M_alt 'C 1 2/m 1'
_space_group_IT_number 12
_space_group_name_Hall '-C 2y'
_cell_length_a 7.878
_cell_length_b 13.507
_cell_length_c 5.043
_cell_angle_alpha 90.00
_cell_angle_beta 99.87
_cell_angle_gamma 90.00
loop_
_atom_site_label
_atom_site_type_symbol
_atom_site_fract_x
_atom_site_fract_y
_atom_site_fract_z
_atom_site_occupancy
Cd1 Cd 0.000 0.234 0.000 1
Cd2 Cd 0.113 0.500 0.799 1
Cd3 Cd 0.196 0.116 0.619 1
In1 In 0.000 0.000 0.000 1
Ga1 Ga 0.000 0.311 0.500 1
```



VASP calculation (PBE) on an optimized crystal structure of Cd2InGa.

Values from the calculation:
Calculated volume ... 92 Å³/cell
DOS at the Fermi energy ... 1.0 states/eV per cell
Crystal system ... tetragonal
Energy of formation from the pure elements ... 0.039 eV per atom
Total magnetization ... 0.00 μB/f.u.

Cell and atoms, written as CIF:
```
data_Cd2InGa
_space_group_name_H-M_alt 'P 4 m m'
_space_group_IT_number 99
_space_group_name_Hall 'P 4 -2'
_cell_length_a 3.149
_cell_length_b 3.149
_cell_length_c 9.278
_cell_angle_alpha 90.00
_cell_angle_beta 90.00
_cell_angle_gamma 90.00
loop_
_atom_site_label
_atom_site_type_symbol
_atom_site_fract_x
_atom_site_fract_y
_atom_site_fract_z
_atom_site_occupancy
Cd1 Cd 0.000 0.000 0.000 1
Cd2 Cd 0.500 0.500 0.243 1
In1 In 0.000 0.000 0.511 1
Ga1 Ga 0.500 0.500 0.768 1
```



VASP calculation (PBE) on an optimized crystal structure of Cd2InGa.

Values from the calculation:
Calculated volume ... 185 Å³/cell
DOS at the Fermi energy ... 2.8 states/eV per cell
Crystal system ... monoclinic
Energy of formation from the pure elements ... 0.049 eV per atom
Total magnetization ... 0.00 μB/f.u.

Cell and atoms, written as CIF:
```
data_Cd2InGa
_space_group_name_H-M_alt 'C 1 2/m 1'
_space_group_IT_number 12
_space_group_name_Hall '-C 2y'
_cell_length_a 5.696
_cell_length_b 3.296
_cell_length_c 9.877
_cell_angle_alpha 90.00
_cell_angle_beta 91.66
_cell_angle_gamma 90.00
loop_
_atom_site_label
_atom_site_type_symbol
_atom_site_fract_x
_atom_site_fract_y
_atom_site_fract_z
_atom_site_occupancy
Cd1 Cd 0.167 0.000 0.236 1
In1 In 0.000 0.500 0.500 1
Ga1 Ga 0.000 0.500 0.000 1
```



VASP calculation (PBE) on an optimized crystal structure of Cd7In12Ga.

Values from the calculation:
Calculated volume ... 1545 Å³/cell
DOS at the Fermi energy ... 24.1 states/eV per cell
Crystal system ... trigonal
Energy of formation from the pure elements ... 0.046 eV per atom
Total magnetization ... 0.00 μB/f.u.

Cell and atoms, written as CIF:
```
data_Cd7In12Ga
_space_group_name_H-M_alt 'R -3'
_space_group_IT_number 148
_space_group_name_Hall '-R 3'
_cell_length_a 12.9536
_cell_length_b 12.9536
_cell_length_c 10.6353
_cell_angle_alpha 90.00
_cell_angle_beta 90.00
_cell_angle_gamma 120.00
loop_
_atom_site_label
_atom_site_type_symbol
_atom_site_fract_x
_atom_site_fract_y
_atom_site_fract_z
_atom_site_occupancy
Cd1 Cd 0.0000 0.0000 0.0000 1
Cd2 Cd 0.0650 0.5229 0.1186 1
In1 In 0.0061 0.2655 0.0061 1
In2 In 0.0732 0.1682 0.7520 1
Ga1 Ga 0.0000 0.0000 0.5000 1
```